# 1
Sc2AlCoH | PBE-GGA | relaxed

extended XYZ file:
```
5
Lattice="4.560 0.000 0.000 0.000 4.560 0.000 0.000 0.000 3.413" Properties=species:S:1:pos:R:3 pbc="T T T"
Sc 0.000 2.280 0.000
Sc 2.280 0.000 0.000
Al 0.000 0.000 1.706
Co 2.280 2.280 1.706
H 2.280 2.280 0.000
```

Properties
VASP energy: -29.03 eV for the cell shown



# 2
TaAlCo2H | PBE-GGA | relaxed

extended XYZ file:
```
5
Lattice="3.798 0.000 0.000 0.000 3.798 0.000 0.000 0.000 3.830" Properties=species:S:1:pos:R:3 pbc="T T T"
Ta 0.000 0.000 0.000
Al 1.899 1.899 0.000
Co 0.000 1.899 1.915
Co 1.899 0.000 1.915
H 0.000 0.000 1.915
```

Properties
VASP energy: -33.86 eV for the cell shown



- Look up the VASP energy of the second one.
  -33.86 eV for the cell shown



- Which value of VASP energy does entry 1 give?
  -29.03 eV for the cell shown